# 1
! GGA-PBE CrFe2Re, optimized geometry; values from VASP
&SYSTEM
  ibrav = 0, nat = 4, ntyp = 3
/
ATOMIC_SPECIES
Cr 52.00 Cr.upf
Re 186.21 Re.upf
Fe 55.84 Fe.upf
CELL_PARAMETERS angstrom
4.130 0.000 0.000
2.065 3.577 0.000
2.065 1.192 3.372
ATOMIC_POSITIONS crystal
Cr 0.500 0.500 0.500
Re 0.750 0.750 0.750
Fe 0.000 0.000 0.000
Fe 0.250 0.250 0.250
! Uncorrected energy: -38.655 eV for the cell shown
! Total magnetization: 4.782 Bohr magnetons per cell
! Symmetry: No. 216
! DFT formation energy: 0.085 eV/atom

---

# 2
! GGA-PBE CrFe6Re2, optimized geometry; values from VASP
&SYSTEM
  ibrav = 0, nat = 9, ntyp = 3
/
ATOMIC_SPECIES
Fe 55.84 Fe.upf
Re 186.21 Re.upf
Cr 52.00 Cr.upf
CELL_PARAMETERS angstrom
-0.977 -2.353 -0.307
6.036 -2.750 1.875
1.244 -1.382 6.637
ATOMIC_POSITIONS crystal
Fe 0.500 0.670 0.330
Fe 0.500 0.330 0.000
Re 0.000 0.333 0.333
Fe 0.500 0.670 0.000
Fe 0.500 0.000 0.670
Fe 0.500 0.000 0.330
Re 0.000 0.667 0.667
Fe 0.500 0.330 0.670
Cr 0.000 0.000 0.000
! Uncorrected energy: -83.856 eV for the cell shown
! Total magnetization: 3.280 Bohr magnetons per cell
! Symmetry: No. 191
! DFT formation energy: 0.160 eV/atom

---

# 3
! GGA-PBE CrFe3Re, optimized geometry; values from VASP
&SYSTEM
  ibrav = 0, nat = 5, ntyp = 3
/
ATOMIC_SPECIES
Re 186.21 Re.upf
Fe 55.84 Fe.upf
Cr 52.00 Cr.upf
CELL_PARAMETERS angstrom
4.406 0.000 0.000
0.000 4.406 0.000
0.000 0.000 4.406
ATOMIC_POSITIONS crystal
Re 0.000 0.000 0.000
Fe 0.000 0.000 0.500
Fe 0.000 0.500 0.000
Cr 0.500 0.500 0.500
Fe 0.500 0.000 0.000
! Uncorrected energy: -38.004 eV for the cell shown
! Total magnetization: 4.761 Bohr magnetons per cell
! Symmetry: No. 221
! DFT formation energy: 1.891 eV/atom

---

# 4
! GGA-PBE CrFeRe2, optimized geometry; values from VASP
&SYSTEM
  ibrav = 0, nat = 4, ntyp = 3
/
ATOMIC_SPECIES
Cr 52.00 Cr.upf
Re 186.21 Re.upf
Fe 55.84 Fe.upf
CELL_PARAMETERS angstrom
4.232 0.000 0.000
0.000 2.606 0.007
0.000 0.934 4.891
ATOMIC_POSITIONS crystal
Cr 0.000 0.513 0.505
Re 0.000 0.009 0.988
Re 0.500 0.273 0.263
Fe 0.500 0.705 0.744
! Uncorrected energy: -42.510 eV for the cell shown
! Total magnetization: 2.508 Bohr magnetons per cell
! Symmetry: No. 6
! DFT formation energy: 0.118 eV/atom

---

# 5
! GGA-PBE Cr4Fe2Re3, optimized geometry; values from VASP
&SYSTEM
  ibrav = 0, nat = 9, ntyp = 3
/
ATOMIC_SPECIES
Cr 52.00 Cr.upf
Re 186.21 Re.upf
Fe 55.84 Fe.upf
CELL_PARAMETERS angstrom
-0.691 3.305 -2.468
-3.652 -3.208 0.271
-3.799 2.595 4.539
ATOMIC_POSITIONS crystal
Cr 0.323 0.647 0.009
Re 0.449 0.898 0.323
Cr 0.677 0.353 0.991
Fe 0.772 0.544 0.337
Re 0.000 0.000 0.000
Cr 0.889 0.779 0.664
Fe 0.228 0.456 0.663
Re 0.551 0.102 0.677
Cr 0.111 0.221 0.336
! Uncorrected energy: -92.055 eV for the cell shown
! Total magnetization: 5.588 Bohr magnetons per cell
! Symmetry: No. 12
! DFT formation energy: 0.079 eV/atom

---

# 6
! GGA-PBE CrFeRe2, optimized geometry; values from VASP
&SYSTEM
  ibrav = 0, nat = 4, ntyp = 3
/
ATOMIC_SPECIES
Fe 55.84 Fe.upf
Re 186.21 Re.upf
Cr 52.00 Cr.upf
CELL_PARAMETERS angstrom
-1.929 0.522 1.774
2.343 -0.692 2.752
1.455 5.168 0.060
ATOMIC_POSITIONS crystal
Fe 0.000 0.000 0.000
Re 0.499 0.500 0.247
Cr 0.000 0.000 0.500
Re 0.501 0.500 0.753
! Uncorrected energy: -42.384 eV for the cell shown
! Total magnetization: 1.000 Bohr magnetons per cell
! Symmetry: No. 47
! DFT formation energy: 0.150 eV/atom

---

# 7
! GGA-PBE CrFeRe2, optimized geometry; values from VASP
&SYSTEM
  ibrav = 0, nat = 4, ntyp = 3
/
ATOMIC_SPECIES
Cr 52.00 Cr.upf
Re 186.21 Re.upf
Fe 55.84 Fe.upf
CELL_PARAMETERS angstrom
4.949 0.000 0.004
-2.340 4.466 -0.014
0.456 0.752 2.452
ATOMIC_POSITIONS crystal
Cr 0.500 0.500 0.000
Re 0.000 0.500 0.500
Fe 0.500 0.000 0.500
Re 0.000 0.000 0.000
! Uncorrected energy: -42.444 eV for the cell shown
! Total magnetization: 2.390 Bohr magnetons per cell
! Symmetry: No. 12
! DFT formation energy: 0.135 eV/atom

---

# 8
! GGA-PBE Cr2Fe2Re, optimized geometry; values from VASP
&SYSTEM
  ibrav = 0, nat = 10, ntyp = 3
/
ATOMIC_SPECIES
Re 186.21 Re.upf
Fe 55.84 Fe.upf
Cr 52.00 Cr.upf
CELL_PARAMETERS angstrom
6.800 0.000 0.000
0.000 6.800 0.000
0.000 0.000 2.565
ATOMIC_POSITIONS crystal
Re 0.000 0.000 0.000
Fe 0.176 0.676 0.500
Cr 0.377 0.877 0.000
Re 0.500 0.500 0.000
Cr 0.623 0.123 0.000
Fe 0.824 0.324 0.500
Fe 0.324 0.176 0.500
Cr 0.123 0.377 0.000
Fe 0.676 0.824 0.500
Cr 0.877 0.623 0.000
! Uncorrected energy: -95.167 eV for the cell shown
! Total magnetization: 0.000 Bohr magnetons per cell
! Symmetry: No. 127
! DFT formation energy: 0.207 eV/atom

---

# 9
! GGA-PBE CrFe3Re, optimized geometry; values from VASP
&SYSTEM
  ibrav = 0, nat = 5, ntyp = 3
/
ATOMIC_SPECIES
Cr 52.00 Cr.upf
Re 186.21 Re.upf
Fe 55.84 Fe.upf
CELL_PARAMETERS angstrom
-2.107 2.229 -2.736
-3.409 -2.110 0.906
-0.913 2.733 2.931
ATOMIC_POSITIONS crystal
Cr 0.000 0.000 0.000
Re 0.500 0.500 0.500
Fe 0.000 0.500 0.000
Fe 0.500 0.000 0.000
Fe 0.000 0.000 0.500
! Uncorrected energy: -40.567 eV for the cell shown
! Total magnetization: 4.791 Bohr magnetons per cell
! Symmetry: No. 221
! DFT formation energy: 1.378 eV/atom

---

# 10
! GGA-PBE Cr5Fe2Re5, optimized geometry; values from VASP
&SYSTEM
  ibrav = 0, nat = 12, ntyp = 3
/
ATOMIC_SPECIES
Fe 55.84 Fe.upf
Cr 52.00 Cr.upf
Re 186.21 Re.upf
CELL_PARAMETERS angstrom
-1.581 0.008 7.193
3.998 -0.007 4.649
-0.779 4.907 3.593
ATOMIC_POSITIONS crystal
Fe 0.777 0.500 0.500
Cr 0.309 0.710 0.710
Re 0.500 0.608 0.000
Cr 0.019 0.290 0.710
Re 0.500 0.000 0.608
Re 0.107 0.392 0.000
Cr 0.505 0.000 0.000
Re 0.107 0.000 0.392
Fe 0.277 0.500 0.500
Cr 0.729 0.290 0.290
Cr 0.019 0.710 0.290
Re 0.845 0.000 0.000
! Uncorrected energy: -119.474 eV for the cell shown
! Total magnetization: 0.765 Bohr magnetons per cell
! Symmetry: No. 107
! DFT formation energy: 0.651 eV/atom

---

# 11
! GGA-PBE CrFeRe2, optimized geometry; values from VASP
&SYSTEM
  ibrav = 0, nat = 4, ntyp = 3
/
ATOMIC_SPECIES
Fe 55.84 Fe.upf
Re 186.21 Re.upf
Cr 52.00 Cr.upf
CELL_PARAMETERS angstrom
4.959 0.004 0.002
2.274 4.407 -0.002
-3.196 -2.895 2.449
ATOMIC_POSITIONS crystal
Fe 0.741 0.241 0.500
Re 0.258 0.758 0.500
Cr 0.504 0.504 0.000
Re 0.997 0.997 0.000
! Uncorrected energy: -42.573 eV for the cell shown
! Total magnetization: 2.818 Bohr magnetons per cell
! Symmetry: No. 44
! DFT formation energy: 0.102 eV/atom

---

# 12
! GGA-PBE Cr4FeRe4, optimized geometry; values from VASP
&SYSTEM
  ibrav = 0, nat = 9, ntyp = 3
/
ATOMIC_SPECIES
Cr 52.00 Cr.upf
Re 186.21 Re.upf
Fe 55.84 Fe.upf
CELL_PARAMETERS angstrom
-3.103 1.872 -2.226
-2.671 -0.313 6.779
0.910 3.824 1.625
ATOMIC_POSITIONS crystal
Cr 0.283 0.055 0.327
Re 0.493 0.408 0.507
Re 0.557 0.632 0.918
Fe 0.141 0.137 0.859
Re 0.082 0.632 0.443
Cr 0.143 0.827 0.857
Cr 0.673 0.055 0.717
Re 0.948 0.384 0.052
Cr 0.680 0.870 0.320
! Uncorrected energy: -93.133 eV for the cell shown
! Total magnetization: 0.000 Bohr magnetons per cell
! Symmetry: No. 8
! DFT formation energy: 0.402 eV/atom

---

# 13
! GGA-PBE CrFe2Re, optimized geometry; values from VASP
&SYSTEM
  ibrav = 0, nat = 8, ntyp = 3
/
ATOMIC_SPECIES
Re 186.21 Re.upf
Fe 55.84 Fe.upf
Cr 52.00 Cr.upf
CELL_PARAMETERS angstrom
-2.643 -2.184 0.261
1.813 -2.395 -1.674
2.878 -5.327 7.205
ATOMIC_POSITIONS crystal
Re 0.750 0.250 0.500
Fe 0.875 0.866 0.750
Fe 0.616 0.125 0.250
Fe 0.134 0.625 0.250
Cr 0.500 0.500 0.000
Cr 0.250 0.750 0.500
Re 0.000 0.000 0.000
Fe 0.375 0.384 0.750
! Uncorrected energy: -72.548 eV for the cell shown
! Total magnetization: 10.242 Bohr magnetons per cell
! Symmetry: No. 122
! DFT formation energy: 0.681 eV/atom

---

# 14
! GGA-PBE CrFeRe2, optimized geometry; values from VASP
&SYSTEM
  ibrav = 0, nat = 4, ntyp = 3
/
ATOMIC_SPECIES
Fe 55.84 Fe.upf
Re 186.21 Re.upf
Cr 52.00 Cr.upf
CELL_PARAMETERS angstrom
8.722 0.001 0.001
8.305 2.665 0.001
8.305 1.300 2.327
ATOMIC_POSITIONS crystal
Fe 0.750 0.750 0.750
Re 0.001 0.001 0.001
Re 0.499 0.499 0.499
Cr 0.250 0.250 0.250
! Uncorrected energy: -42.178 eV for the cell shown
! Total magnetization: 2.131 Bohr magnetons per cell
! Symmetry: No. 166
! DFT formation energy: 0.201 eV/atom

---

# 15
! GGA-PBE CrFe4Re, optimized geometry; values from VASP
&SYSTEM
  ibrav = 0, nat = 6, ntyp = 3
/
ATOMIC_SPECIES
Fe 55.84 Fe.upf
Re 186.21 Re.upf
Cr 52.00 Cr.upf
CELL_PARAMETERS angstrom
-0.063 -3.621 -2.885
3.896 -2.355 -0.844
0.517 -4.292 1.660
ATOMIC_POSITIONS crystal
Fe 0.375 0.375 0.875
Fe 0.875 0.375 0.375
Re 0.750 0.750 0.750
Cr 0.000 0.000 0.000
Fe 0.375 0.875 0.375
Fe 0.375 0.375 0.375
! Uncorrected energy: -55.377 eV for the cell shown
! Total magnetization: 3.907 Bohr magnetons per cell
! Symmetry: No. 216
! DFT formation energy: 0.091 eV/atom

---

# 16
! GGA-PBE CrFeRe2, optimized geometry; values from VASP
&SYSTEM
  ibrav = 0, nat = 4, ntyp = 3
/
ATOMIC_SPECIES
Cr 52.00 Cr.upf
Re 186.21 Re.upf
Fe 55.84 Fe.upf
CELL_PARAMETERS angstrom
4.253 0.000 0.000
2.126 3.683 0.000
2.126 1.228 3.472
ATOMIC_POSITIONS crystal
Cr 0.500 0.500 0.500
Re 0.750 0.750 0.750
Fe 0.250 0.250 0.250
Re 0.000 0.000 0.000
! Uncorrected energy: -42.570 eV for the cell shown
! Total magnetization: 3.609 Bohr magnetons per cell
! Symmetry: No. 216
! DFT formation energy: 0.103 eV/atom

---

# 17
! GGA-PBE CrFe2Re2, optimized geometry; values from VASP
&SYSTEM
  ibrav = 0, nat = 10, ntyp = 3
/
ATOMIC_SPECIES
Re 186.21 Re.upf
Cr 52.00 Cr.upf
Fe 55.84 Fe.upf
CELL_PARAMETERS angstrom
6.983 0.000 0.000
0.000 6.983 0.000
0.000 0.000 2.677
ATOMIC_POSITIONS crystal
Re 0.826 0.326 0.500
Cr 0.000 0.000 0.000
Re 0.174 0.674 0.500
Re 0.326 0.174 0.500
Fe 0.377 0.877 0.000
Cr 0.500 0.500 0.000
Fe 0.123 0.377 0.000
Fe 0.877 0.623 0.000
Fe 0.623 0.123 0.000
Re 0.674 0.826 0.500
! Uncorrected energy: -100.297 eV for the cell shown
! Total magnetization: 2.675 Bohr magnetons per cell
! Symmetry: No. 127
! DFT formation energy: 0.259 eV/atom

---

# 18
! GGA-PBE CrFeRe2, optimized geometry; values from VASP
&SYSTEM
  ibrav = 0, nat = 4, ntyp = 3
/
ATOMIC_SPECIES
Re 186.21 Re.upf
Fe 55.84 Fe.upf
Cr 52.00 Cr.upf
CELL_PARAMETERS angstrom
2.682 0.000 0.000
0.000 3.718 0.000
0.000 0.000 5.323
ATOMIC_POSITIONS crystal
Re 0.000 0.000 0.984
Fe 0.500 0.500 0.741
Re 0.500 0.500 0.262
Cr 0.000 0.000 0.513
! Uncorrected energy: -42.371 eV for the cell shown
! Total magnetization: 0.674 Bohr magnetons per cell
! Symmetry: No. 25
! DFT formation energy: 0.153 eV/atom

---

# 19
! GGA-PBE CrFe2Re, optimized geometry; values from VASP
&SYSTEM
  ibrav = 0, nat = 4, ntyp = 3
/
ATOMIC_SPECIES
Cr 52.00 Cr.upf
Re 186.21 Re.upf
Fe 55.84 Fe.upf
CELL_PARAMETERS angstrom
-2.813 -2.979 0.589
1.784 -1.482 1.022
-0.257 1.180 4.740
ATOMIC_POSITIONS crystal
Cr 0.500 0.750 0.750
Re 0.500 0.250 0.250
Fe 0.000 0.512 0.507
Fe 0.000 0.988 0.993
! Uncorrected energy: -38.581 eV for the cell shown
! Total magnetization: 4.618 Bohr magnetons per cell
! Symmetry: No. 10
! DFT formation energy: 0.104 eV/atom

---

# 20
! GGA-PBE CrFe2Re, optimized geometry; values from VASP
&SYSTEM
  ibrav = 0, nat = 4, ntyp = 3
/
ATOMIC_SPECIES
Fe 55.84 Fe.upf
Cr 52.00 Cr.upf
Re 186.21 Re.upf
CELL_PARAMETERS angstrom
-0.587 3.855 -2.135
-0.751 -3.379 -2.790
-2.501 -0.005 0.679
ATOMIC_POSITIONS crystal
Fe 0.000 0.000 0.000
Cr 0.000 0.500 0.500
Fe 0.500 0.500 0.000
Re 0.500 0.000 0.500
! Uncorrected energy: -38.602 eV for the cell shown
! Total magnetization: 1.051 Bohr magnetons per cell
! Symmetry: No. 65
! DFT formation energy: 0.099 eV/atom